# 1
Compound: Hf2PdPt5
Source: the Alexandria database
Functional: PBE
Structure: optimized geometry

```
data_Hf2PdPt5
_symmetry_space_group_name_H-M 'P b a m'
_symmetry_Int_Tables_number 55
_symmetry_space_group_name_Hall '-P 2 2ab'
_cell_length_a 5.683
_cell_length_b 11.373
_cell_length_c 4.039
_cell_angle_alpha 90.00
_cell_angle_beta 90.00
_cell_angle_gamma 90.00
loop_
_atom_site_label
_atom_site_type_symbol
_atom_site_fract_x
_atom_site_fract_y
_atom_site_fract_z
Hf1 Hf 0.248 0.125 0.000
Pd1 Pd 0.000 0.500 0.500
Pt1 Pt 0.000 0.000 0.500
Pt2 Pt 0.001 0.750 0.500
Pt3 Pt 0.249 0.376 0.000
```

Properties
**ΔH_f (0 K)**: -1.078 eV per atom
**N(E_F)**: 1.0 states/eV/cell

---

# 2
Compound: Sm2Mn17B2
Source: the Alexandria database
Functional: PBE
Structure: optimized geometry

```
data_Sm2Mn17B2
_symmetry_space_group_name_H-M 'C 1 2/m 1'
_symmetry_Int_Tables_number 12
_symmetry_space_group_name_Hall '-C 2y'
_cell_length_a 9.673
_cell_length_b 8.679
_cell_length_c 6.468
_cell_angle_alpha 90.00
_cell_angle_beta 98.34
_cell_angle_gamma 90.00
loop_
_atom_site_label
_atom_site_type_symbol
_atom_site_fract_x
_atom_site_fract_y
_atom_site_fract_z
Sm1 Sm 0.141 0.000 0.342
Mn1 Mn 0.000 0.228 0.000
Mn2 Mn 0.000 0.500 0.500
Mn3 Mn 0.097 0.265 0.666
Mn4 Mn 0.105 0.500 0.899
Mn5 Mn 0.141 0.365 0.272
Mn6 Mn 0.155 0.000 0.867
Mn7 Mn 0.250 0.250 0.000
B1 B 0.250 0.250 0.500
```

Properties
**ΔH_f (0 K)**: -0.008 eV per atom
**N(E_F)**: 42.4 states/eV/cell

---

Q: Which value of ΔH_f (0 K) does entry 2 give?
A: -0.008 eV per atom

---

Q: Which of these has the lowest N(E_F)?
A: Hf2PdPt5

---

Q: Which value of N(E_F) does entry 2 give?
A: 42.4 states/eV/cell